1.
Entry from Alexandria via LeMat-Bulk: an optimized crystal structure of Gd2ZnS (PBE-GGA).

a = 9.6607 Å, b = 9.6607 Å, c = 9.6607 Å
α = 22.37°, β = 22.37°, γ = 22.37°
Fractional positions:
Gd (0.1087, 0.1087, 0.1087)
Gd (0.8913, 0.8913, 0.8913)
Zn (0.0000, 0.0000, 0.0000)
S (0.5000, 0.5000, 0.5000)

Properties
E_form (uncorrected) = -0.678 eV/atom
D(E_F) = 4.00 states/eV/cell
VASP energy = -9.069 eV/atom

***

2.
Entry from Alexandria via LeMat-Bulk: an optimized crystal structure of Gd2ZrS5 (PBE-GGA).

a = 11.6126 Å, b = 7.8495 Å, c = 7.3128 Å
α = 90.00°, β = 90.00°, γ = 90.00°
Fractional positions:
Gd (0.1784, 0.0021, 0.0243)
Gd (0.1784, 0.4979, 0.0243)
Gd (0.3216, 0.5021, 0.5243)
Gd (0.3216, 0.9979, 0.5243)
Gd (0.6784, 0.0021, 0.4757)
Gd (0.6784, 0.4979, 0.4757)
Gd (0.8216, 0.5021, 0.9757)
Gd (0.8216, 0.9979, 0.9757)
Zr (0.0074, 0.7500, 0.5781)
Zr (0.4926, 0.2500, 0.0781)
Zr (0.5074, 0.7500, 0.9219)
Zr (0.9926, 0.2500, 0.4219)
S (0.0036, 0.7500, 0.9485)
S (0.0924, 0.0375, 0.6618)
S (0.0924, 0.4625, 0.6618)
S (0.1828, 0.7500, 0.3344)
S (0.2080, 0.2500, 0.3117)
S (0.2920, 0.7500, 0.8117)
S (0.3172, 0.2500, 0.8344)
S (0.4076, 0.5375, 0.1618)
S (0.4076, 0.9625, 0.1618)
S (0.4964, 0.2500, 0.4485)
S (0.5036, 0.7500, 0.5515)
S (0.5924, 0.0375, 0.8382)
S (0.5924, 0.4625, 0.8382)
S (0.6828, 0.7500, 0.1656)
S (0.7080, 0.2500, 0.1883)
S (0.7920, 0.7500, 0.6883)
S (0.8172, 0.2500, 0.6656)
S (0.9076, 0.5375, 0.3382)
S (0.9076, 0.9625, 0.3382)
S (0.9964, 0.2500, 0.0515)

Properties
E_form (uncorrected) = -1.889 eV/atom
VASP energy = -9.057 eV/atom

***

3.
Entry from Alexandria via LeMat-Bulk: an optimized crystal structure of GdZrS2 (PBE-GGA).

a = 6.6003 Å, b = 6.6003 Å, c = 6.6003 Å
α = 33.79°, β = 33.79°, γ = 33.79°
Fractional positions:
Gd (0.0000, 0.0000, 0.0000)
Zr (0.5000, 0.5000, 0.5000)
S (0.2453, 0.2453, 0.2453)
S (0.7547, 0.7547, 0.7547)

Properties
E_form (uncorrected) = -1.724 eV/atom
D(E_F) = 1.65 states/eV/cell
VASP energy = -9.445 eV/atom

***

4.
Entry from Alexandria via LeMat-Bulk: an optimized crystal structure of GdSb6 (PBE-GGA).

a = 7.2347 Å, b = 7.2347 Å, c = 7.2347 Å
α = 109.47°, β = 109.47°, γ = 109.47°
Fractional positions:
Gd (0.0000, 0.0000, 0.0000)
Sb (0.2500, 0.5000, 0.7500)
Sb (0.2500, 0.7500, 0.5000)
Sb (0.5000, 0.2500, 0.7500)
Sb (0.5000, 0.7500, 0.2500)
Sb (0.7500, 0.2500, 0.5000)
Sb (0.7500, 0.5000, 0.2500)

Properties
E_form (uncorrected) = 0.492 eV/atom
D(E_F) = 12.67 states/eV/cell
VASP energy = -5.053 eV/atom

***

5.
Entry from Alexandria via LeMat-Bulk: an optimized crystal structure of GdSb3 (PBE-GGA).

a = 4.7794 Å, b = 4.7794 Å, c = 4.7794 Å
α = 90.00°, β = 90.00°, γ = 90.00°
Fractional positions:
Gd (0.0000, 0.0000, 0.0000)
Sb (0.0000, 0.5000, 0.5000)
Sb (0.5000, 0.0000, 0.5000)
Sb (0.5000, 0.5000, 0.0000)

Properties
E_form (uncorrected) = -0.448 eV/atom
D(E_F) = 2.81 states/eV/cell
VASP energy = -7.060 eV/atom

***

6.
Entry from Alexandria via LeMat-Bulk: an optimized crystal structure of GdSb3 (PBE-GGA).

a = 4.3836 Å, b = 6.2026 Å, c = 4.5568 Å
α = 90.00°, β = 90.00°, γ = 90.00°
Fractional positions:
Gd (0.0000, 0.0000, 0.0000)
Sb (0.0000, 0.5000, 0.8744)
Sb (0.5000, 0.0000, 0.4881)
Sb (0.5000, 0.5000, 0.3067)

Properties
E_form (uncorrected) = -0.503 eV/atom
D(E_F) = 1.84 states/eV/cell
VASP energy = -7.115 eV/atom

***

7.
Entry from Alexandria via LeMat-Bulk: an optimized crystal structure of Gd3Sb (PBE-GGA).

a = 4.8213 Å, b = 4.8213 Å, c = 4.8213 Å
α = 90.00°, β = 90.00°, γ = 90.00°
Fractional positions:
Gd (0.0000, 0.0000, 0.5000)
Gd (0.0000, 0.5000, 0.0000)
Gd (0.5000, 0.0000, 0.0000)
Sb (0.5000, 0.5000, 0.5000)

Properties
E_form (uncorrected) = -0.531 eV/atom
D(E_F) = 4.65 states/eV/cell
VASP energy = -12.122 eV/atom

***

8.
Entry from Alexandria via LeMat-Bulk: an optimized crystal structure of GdSb3 (PBE-GGA).

a = 6.2963 Å, b = 6.2963 Å, c = 6.2963 Å
α = 138.26°, β = 138.26°, γ = 60.51°
Fractional positions:
Gd (0.0000, 0.0000, 0.0000)
Sb (0.2500, 0.7500, 0.5000)
Sb (0.5000, 0.5000, 0.0000)
Sb (0.7500, 0.2500, 0.5000)

Properties
E_form (uncorrected) = -0.478 eV/atom
D(E_F) = 2.28 states/eV/cell
VASP energy = -7.090 eV/atom

***

9.
Entry from Alexandria via LeMat-Bulk: an optimized crystal structure of Gd2Sb (PBE-GGA).

a = 5.9733 Å, b = 5.9733 Å, c = 5.9733 Å
α = 140.49°, β = 140.49°, γ = 57.12°
Fractional positions:
Gd (0.1544, 0.1544, 0.0000)
Gd (0.8456, 0.8456, 0.0000)
Sb (0.5000, 0.5000, 0.0000)

Properties
E_form (uncorrected) = -0.711 eV/atom
D(E_F) = 3.06 states/eV/cell
VASP energy = -11.473 eV/atom

***

10.
Entry from Alexandria via LeMat-Bulk: an optimized crystal structure of Gd3Sb (PBE-GGA).

a = 6.2113 Å, b = 6.2113 Å, c = 6.2113 Å
α = 135.62°, β = 135.62°, γ = 64.57°
Fractional positions:
Gd (0.0000, 0.0000, 0.0000)
Gd (0.2500, 0.7500, 0.5000)
Gd (0.7500, 0.2500, 0.5000)
Sb (0.5000, 0.5000, 0.0000)

Properties
E_form (uncorrected) = -0.501 eV/atom
D(E_F) = 4.91 states/eV/cell
VASP energy = -12.092 eV/atom

***

11.
Entry from Alexandria via LeMat-Bulk: an optimized crystal structure of Gd4Sb3 (PBE-GGA).

a = 8.0645 Å, b = 8.0645 Å, c = 8.0645 Å
α = 109.47°, β = 109.47°, γ = 109.47°
Fractional positions:
Gd (0.0000, 0.1445, 0.5000)
Gd (0.0000, 0.6445, 0.5000)
Gd (0.1445, 0.5000, 0.0000)
Gd (0.3555, 0.3555, 0.3555)
Gd (0.5000, 0.0000, 0.1445)
Gd (0.5000, 0.0000, 0.6445)
Gd (0.6445, 0.5000, 0.0000)
Gd (0.8555, 0.8555, 0.8555)
Sb (0.1250, 0.8750, 0.2500)
Sb (0.2500, 0.1250, 0.8750)
Sb (0.3750, 0.6250, 0.7500)
Sb (0.6250, 0.7500, 0.3750)
Sb (0.7500, 0.3750, 0.6250)
Sb (0.8750, 0.2500, 0.1250)

Properties
E_form (uncorrected) = -1.061 eV/atom
D(E_F) = 23.65 states/eV/cell
VASP energy = -10.874 eV/atom

***

12.
Entry from Alexandria via LeMat-Bulk: an optimized crystal structure of GdScSb2 (PBE-GGA).

a = 7.4151 Å, b = 7.4151 Å, c = 7.4151 Å
α = 33.67°, β = 33.67°, γ = 33.67°
Fractional positions:
Gd (0.0000, 0.0000, 0.0000)
Sc (0.5000, 0.5000, 0.5000)
Sb (0.2445, 0.2445, 0.2445)
Sb (0.7555, 0.7555, 0.7555)

Properties
E_form (uncorrected) = -1.048 eV/atom
D(E_F) = 1.65 states/eV/cell
VASP energy = -8.212 eV/atom

***

13.
Entry from Alexandria via LeMat-Bulk: an optimized crystal structure of Gd2ScSb (PBE-GGA).

a = 5.3481 Å, b = 5.3481 Å, c = 5.3481 Å
α = 60.00°, β = 60.00°, γ = 60.00°
Fractional positions:
Gd (0.2500, 0.2500, 0.2500)
Gd (0.7500, 0.7500, 0.7500)
Sc (0.0000, 0.0000, 0.0000)
Sb (0.5000, 0.5000, 0.5000)

Properties
E_form (uncorrected) = -0.295 eV/atom
D(E_F) = 6.45 states/eV/cell
VASP energy = -9.949 eV/atom

***

14.
Entry from Alexandria via LeMat-Bulk: an optimized crystal structure of GdSc2Sb (PBE-GGA).

a = 4.6566 Å, b = 4.6566 Å, c = 4.4969 Å
α = 90.00°, β = 90.00°, γ = 90.00°
Fractional positions:
Gd (0.0000, 0.0000, 0.0000)
Sc (0.0000, 0.5000, 0.5000)
Sc (0.5000, 0.0000, 0.5000)
Sb (0.5000, 0.5000, 0.0000)

Properties
E_form (uncorrected) = -0.483 eV/atom
D(E_F) = 5.64 states/eV/cell
VASP energy = -8.200 eV/atom

***

15.
Entry from Alexandria via LeMat-Bulk: an optimized crystal structure of GdScSb (PBE-GGA).

a = 4.8824 Å, b = 4.8824 Å, c = 3.9524 Å
α = 90.00°, β = 90.00°, γ = 120.00°
Fractional positions:
Gd (0.0000, 0.0000, 0.0000)
Sc (0.3333, 0.6667, 0.5181)
Sb (0.6667, 0.3333, 0.4162)

Properties
E_form (uncorrected) = -0.502 eV/atom
D(E_F) = 4.36 states/eV/cell
VASP energy = -8.680 eV/atom

***

16.
Entry from Alexandria via LeMat-Bulk: an optimized crystal structure of Gd2ScSb (PBE-GGA).

a = 4.7316 Å, b = 4.7316 Å, c = 4.7272 Å
α = 90.00°, β = 90.00°, γ = 90.00°
Fractional positions:
Gd (0.0000, 0.5000, 0.0000)
Gd (0.5000, 0.0000, 0.0000)
Sc (0.0000, 0.0000, 0.5000)
Sb (0.5000, 0.5000, 0.5000)

Properties
E_form (uncorrected) = -0.500 eV/atom
D(E_F) = 5.84 states/eV/cell
VASP energy = -10.154 eV/atom

***

17.
Entry from Alexandria via LeMat-Bulk: an optimized crystal structure of GdSc2Sb (PBE-GGA).

a = 11.0494 Å, b = 11.0494 Å, c = 11.0494 Å
α = 17.64°, β = 17.64°, γ = 17.64°
Fractional positions:
Gd (0.0000, 0.0000, 0.0000)
Sc (0.0956, 0.0956, 0.0956)
Sc (0.9044, 0.9044, 0.9044)
Sb (0.5000, 0.5000, 0.5000)

Properties
E_form (uncorrected) = 0.007 eV/atom
D(E_F) = 6.43 states/eV/cell
VASP energy = -7.709 eV/atom

***

18.
Entry from Alexandria via LeMat-Bulk: an optimized crystal structure of GdScSb (PBE-GGA).

a = 5.9096 Å, b = 5.9096 Å, c = 5.9096 Å
α = 141.81°, β = 141.81°, γ = 55.11°
Fractional positions:
Gd (0.0000, 0.0000, 0.0000)
Sc (0.3070, 0.3070, 0.0000)
Sb (0.6762, 0.6762, 0.0000)

Properties
E_form (uncorrected) = -0.631 eV/atom
D(E_F) = 2.04 states/eV/cell
VASP energy = -8.810 eV/atom

***

19.
Entry from Alexandria via LeMat-Bulk: an optimized crystal structure of Gd3Sb5Se12 (PBE-GGA).

a = 14.6976 Å, b = 14.6976 Å, c = 14.6976 Å
α = 109.47°, β = 109.47°, γ = 109.47°
Fractional positions:
Gd (0.1250, 0.2500, 0.3750)
Gd (0.1250, 0.3750, 0.7500)
Gd (0.2500, 0.3750, 0.1250)
Gd (0.2500, 0.8750, 0.6250)
Gd (0.3750, 0.1250, 0.2500)
Gd (0.3750, 0.7500, 0.1250)
Gd (0.6250, 0.2500, 0.8750)
Gd (0.6250, 0.8750, 0.7500)
Gd (0.7500, 0.1250, 0.3750)
Gd (0.7500, 0.6250, 0.8750)
Gd (0.8750, 0.6250, 0.2500)
Gd (0.8750, 0.7500, 0.6250)
Sb (0.0000, 0.0000, 0.0000)
Sb (0.0000, 0.0000, 0.5000)
Sb (0.0000, 0.5000, 0.0000)
Sb (0.0000, 0.5000, 0.5000)
Sb (0.1250, 0.7500, 0.8750)
Sb (0.1250, 0.8750, 0.2500)
Sb (0.2500, 0.1250, 0.8750)
Sb (0.2500, 0.6250, 0.3750)
Sb (0.3750, 0.2500, 0.6250)
Sb (0.3750, 0.6250, 0.7500)
Sb (0.5000, 0.0000, 0.0000)
Sb (0.5000, 0.0000, 0.5000)
Sb (0.5000, 0.5000, 0.0000)
Sb (0.5000, 0.5000, 0.5000)
Sb (0.6250, 0.3750, 0.2500)
Sb (0.6250, 0.7500, 0.3750)
Sb (0.7500, 0.3750, 0.6250)
Sb (0.7500, 0.8750, 0.1250)
Sb (0.8750, 0.1250, 0.7500)
Sb (0.8750, 0.2500, 0.1250)
Se (0.0529, 0.2218, 0.1387)
Se (0.0529, 0.3311, 0.9142)
Se (0.0831, 0.7218, 0.6689)
Se (0.0831, 0.8613, 0.4142)
Se (0.0858, 0.6387, 0.4169)
Se (0.0858, 0.9471, 0.6689)
Se (0.1387, 0.0529, 0.2218)
Se (0.1387, 0.5858, 0.9169)
Se (0.1689, 0.2218, 0.5831)
Se (0.1689, 0.4471, 0.5858)
Se (0.2218, 0.1387, 0.0529)
Se (0.2218, 0.5831, 0.1689)
Se (0.2782, 0.3311, 0.9169)
Se (0.2782, 0.4471, 0.3613)
Se (0.3311, 0.9142, 0.0529)
Se (0.3311, 0.9169, 0.2782)
Se (0.3613, 0.2782, 0.4471)
Se (0.3613, 0.5831, 0.9142)
Se (0.4142, 0.0831, 0.8613)
Se (0.4142, 0.8311, 0.5529)
Se (0.4169, 0.0858, 0.6387)
Se (0.4169, 0.8311, 0.7782)
Se (0.4471, 0.3613, 0.2782)
Se (0.4471, 0.5858, 0.1689)
Se (0.5529, 0.4142, 0.8311)
Se (0.5529, 0.6387, 0.7218)
Se (0.5831, 0.1689, 0.2218)
Se (0.5831, 0.9142, 0.3613)
Se (0.5858, 0.1689, 0.4471)
Se (0.5858, 0.9169, 0.1387)
Se (0.6387, 0.4169, 0.0858)
Se (0.6387, 0.7218, 0.5529)
Se (0.6689, 0.0831, 0.7218)
Se (0.6689, 0.0858, 0.9471)
Se (0.7218, 0.5529, 0.6387)
Se (0.7218, 0.6689, 0.0831)
Se (0.7782, 0.4169, 0.8311)
Se (0.7782, 0.8613, 0.9471)
Se (0.8311, 0.5529, 0.4142)
Se (0.8311, 0.7782, 0.4169)
Se (0.8613, 0.4142, 0.0831)
Se (0.8613, 0.9471, 0.7782)
Se (0.9142, 0.0529, 0.3311)
Se (0.9142, 0.3613, 0.5831)
Se (0.9169, 0.1387, 0.5858)
Se (0.9169, 0.2782, 0.3311)
Se (0.9471, 0.6689, 0.0858)
Se (0.9471, 0.7782, 0.8613)

Properties
E_form (uncorrected) = -0.707 eV/atom
D(E_F) = 19.92 states/eV/cell
VASP energy = -5.940 eV/atom

***

20.
Entry from Alexandria via LeMat-Bulk: an optimized crystal structure of Gd2SbSe (PBE-GGA).

a = 7.4060 Å, b = 7.4060 Å, c = 7.4060 Å
α = 33.68°, β = 33.68°, γ = 33.68°
Fractional positions:
Gd (0.2461, 0.2461, 0.2461)
Gd (0.7539, 0.7539, 0.7539)
Sb (0.0000, 0.0000, 0.0000)
Se (0.5000, 0.5000, 0.5000)

Properties
E_form (uncorrected) = -1.511 eV/atom
D(E_F) = 3.26 states/eV/cell
VASP energy = -10.453 eV/atom

***

21.
Entry from Alexandria via LeMat-Bulk: an optimized crystal structure of GdThSbSe (PBE-GGA).

a = 5.2914 Å, b = 5.2914 Å, c = 5.2914 Å
α = 60.00°, β = 60.00°, γ = 60.00°
Fractional positions:
Gd (0.0000, 0.0000, 0.0000)
Th (0.5000, 0.5000, 0.5000)
Sb (0.2500, 0.2500, 0.2500)
Se (0.7500, 0.7500, 0.7500)

Properties
E_form (uncorrected) = -1.156 eV/atom
D(E_F) = 3.76 states/eV/cell
VASP energy = -8.433 eV/atom

***

22.
Entry from Alexandria via LeMat-Bulk: an optimized crystal structure of SmGd2Sb (PBE-GGA).

a = 4.0599 Å, b = 4.0599 Å, c = 7.2460 Å
α = 90.00°, β = 90.00°, γ = 90.00°
Fractional positions:
Sm (0.0000, 0.0000, 0.0000)
Gd (0.5000, 0.5000, 0.2814)
Gd (0.5000, 0.5000, 0.7186)
Sb (0.0000, 0.0000, 0.5000)

Properties
E_form (uncorrected) = -0.519 eV/atom
D(E_F) = 5.01 states/eV/cell
VASP energy = -9.770 eV/atom

***

23.
Entry from Alexandria via LeMat-Bulk: an optimized crystal structure of SmGd2Sb (PBE-GGA).

a = 5.4662 Å, b = 5.4662 Å, c = 5.4662 Å
α = 60.00°, β = 60.00°, γ = 60.00°
Fractional positions:
Sm (0.0000, 0.0000, 0.0000)
Gd (0.2500, 0.2500, 0.2500)
Gd (0.7500, 0.7500, 0.7500)
Sb (0.5000, 0.5000, 0.5000)

Properties
E_form (uncorrected) = -0.296 eV/atom
D(E_F) = 6.20 states/eV/cell
VASP energy = -9.547 eV/atom

***

24.
Entry from Alexandria via LeMat-Bulk: an optimized crystal structure of SmGd2Sb (PBE-GGA).

a = 4.8306 Å, b = 4.8306 Å, c = 4.8746 Å
α = 90.00°, β = 90.00°, γ = 90.00°
Fractional positions:
Sm (0.0000, 0.0000, 0.0000)
Gd (0.0000, 0.5000, 0.5000)
Gd (0.5000, 0.0000, 0.5000)
Sb (0.5000, 0.5000, 0.0000)

Properties
E_form (uncorrected) = -0.531 eV/atom
D(E_F) = 4.81 states/eV/cell
VASP energy = -9.782 eV/atom